DFT (GGA-PBE) results for a relaxed structure of Ac2NdDy.

Unit cell a=5.4345 b=5.4345 c=5.2290 alpha=90.00 beta=90.00 gamma=90.00
Space group P4/mmm (No. 123)
Symmetry-distinct sites (fractional):
Ac (0.0000, 0.5000, 0.0000)
Nd (0.0000, 0.0000, 0.5000)
Dy (0.5000, 0.5000, 0.5000)

Calculated values
Distance to the lowest polymorph of the same formula ... 0 meV per atom
Total moment ... 0.00 μB/f.u.